[1]
# KNpMnBr6

A geometry-optimized KNpMnBr6 structure (PBE, the Alexandria database).

Cell lengths 7.294, 7.294, 14.473 Å; angles 90.00, 90.00, 120.00 degrees
Each line ends with the local moment (μB).
Element x y z (fractional)
1 Br 0.622 0.980 0.859  0.01
2 Br 0.358 0.378 0.859  0.01
3 Br 0.980 0.622 0.359  0.01
4 Br 0.622 0.642 0.641  0.01
5 Br 0.378 0.358 0.359  0.01
6 Br 0.642 0.622 0.141  0.01
7 Mn 0.667 0.333 0.250  4.41
8 K 0.000 0.000 0.000  0.00
9 Np 0.667 0.333 0.750  4.01
10 Br 0.358 0.980 0.641  0.01
11 Mn 0.333 0.667 0.750  4.41
12 Np 0.333 0.667 0.250  4.01
13 Br 0.020 0.378 0.641  0.01
14 Br 0.642 0.020 0.359  0.01
15 Br 0.378 0.020 0.141  0.01
16 Br 0.020 0.642 0.859  0.01
17 Br 0.980 0.358 0.141  0.01
18 K 0.000 0.000 0.500  0.00

Computed properties:
V	37.049	Å³/atom
total magnetization	9.00	μB/f.u.
E_form (uncorrected)	-1237	meV per atom
calculated total energy	-4.931	eV/atom
crystal system	trigonal
SG	P-31c (163)

=====

[2]
# KMn2OsBr

A geometry-optimized KMn2OsBr structure (PBE, the Alexandria database).

Cell lengths 4.769, 5.753, 4.769 Å; angles 90.00, 90.00, 90.00 degrees
Each line ends with the local moment (μB).
Element x y z (fractional)
1 Os 0.000 0.000 0.000  -0.28
2 Br 0.000 0.500 0.000  0.03
3 K 0.500 0.500 0.500  0.01
4 Mn 0.500 0.000 0.000  3.81
5 Mn 0.000 0.000 0.500  3.54

Computed properties:
V	26.169	Å³/atom
total magnetization	7.75	μB/f.u.
E_form (uncorrected)	696	meV per atom
calculated total energy	-5.772	eV/atom
crystal system	tetragonal
SG	P4/mmm (123)

=====

[3]
# K2MnPbBr

A geometry-optimized K2MnPbBr structure (PBE, the Alexandria database).

Cell lengths 6.379, 5.052, 6.379 Å; angles 90.00, 90.00, 90.00 degrees
Each line ends with the local moment (μB).
Element x y z (fractional)
1 Pb 0.000 0.500 0.000  -0.18
2 K 0.000 0.000 0.500  0.01
3 K 0.500 0.000 0.000  0.01
4 Mn 0.000 0.000 0.000  3.76
5 Br 0.500 0.500 0.500  -0.01

Computed properties:
V	41.119	Å³/atom
total magnetization	3.85	μB/f.u.
E_form (uncorrected)	-24	meV per atom
calculated total energy	-3.373	eV/atom
crystal system	tetragonal
SG	P4/mmm (123)

=====

[4]
# KMnPbBr5

A geometry-optimized KMnPbBr5 structure (PBE, the Alexandria database).

Cell lengths 8.075, 8.075, 10.738 Å; angles 104.02, 104.02, 106.16 degrees
Each line ends with the local moment (μB).
Element x y z (fractional)
1 Br 0.099 0.901 0.250  0.00
2 K 0.648 0.352 0.750  0.00
3 Br 0.901 0.099 0.750  0.00
4 Pb 0.000 0.000 0.000  0.02
5 Br 0.605 0.734 0.934  0.04
6 Br 0.661 0.080 0.365  0.04
7 Pb 0.000 0.000 0.500  0.02
8 Br 0.734 0.605 0.434  0.04
9 Br 0.920 0.339 0.135  0.04
10 K 0.352 0.648 0.250  0.00
11 Mn 0.317 0.683 0.750  4.33
12 Br 0.080 0.661 0.865  0.04
13 Br 0.266 0.395 0.566  0.04
14 Br 0.339 0.920 0.635  0.04
15 Mn 0.683 0.317 0.250  4.33
16 Br 0.395 0.266 0.066  0.04

Computed properties:
V	38.469	Å³/atom
total magnetization	5.00	μB/f.u.
E_form (uncorrected)	-1076	meV per atom
calculated total energy	-3.869	eV/atom
crystal system	monoclinic
SG	C2/c (15)

=====

[5]
# K2MnPdBr6

A geometry-optimized K2MnPdBr6 structure (PBE, the Alexandria database).

Cell lengths 7.460, 7.460, 10.578 Å; angles 90.00, 90.00, 90.00 degrees
Each line ends with the local moment (μB).
Element x y z (fractional)
1 Br 0.253 0.003 0.500  -0.04
2 Br 0.247 0.997 0.000  -0.04
3 Br 0.747 0.003 0.500  -0.04
4 K 0.500 0.750 0.249  0.00
5 Br 0.500 0.250 0.745  -0.04
6 Mn 0.000 0.750 0.000  3.94
7 K 0.500 0.750 0.751  0.00
8 Pd 0.000 0.750 0.500  -0.70
9 Mn 0.500 0.250 0.500  3.94
10 K 0.000 0.250 0.251  0.00
11 Br 0.753 0.504 0.000  -0.04
12 Br 0.500 0.250 0.255  -0.04
13 K 0.000 0.250 0.749  0.00
14 Br 0.247 0.504 0.000  -0.04
15 Br 0.747 0.496 0.500  -0.04
16 Br 0.753 0.997 0.000  -0.04
17 Pd 0.500 0.250 0.000  -0.70
18 Br 0.253 0.496 0.500  -0.04
19 Br 0.000 0.750 0.755  -0.04
20 Br 0.000 0.750 0.245  -0.04

Computed properties:
V	29.434	Å³/atom
total magnetization	3.19	μB/f.u.
E_form (uncorrected)	-978	meV per atom
calculated total energy	-3.637	eV/atom
crystal system	orthorhombic
SG	Immm (71)

=====

[6]
# KMn2PdBr8

A geometry-optimized KMn2PdBr8 structure (PBE, the Alexandria database).

Cell lengths 6.799, 6.799, 9.477 Å; angles 90.00, 90.00, 120.00 degrees
Each line ends with the local moment (μB).
Element x y z (fractional)
1 Pd 0.000 0.000 0.500  -0.18
2 Br 0.010 0.698 0.335  0.01
3 Br 0.312 0.010 0.665  0.01
4 Br 0.990 0.302 0.665  0.01
5 Mn 0.667 0.333 0.270  4.13
6 Br 0.698 0.688 0.665  0.01
7 Br 0.667 0.333 0.016  0.07
8 Br 0.688 0.990 0.335  0.01
9 Mn 0.333 0.667 0.730  4.13
10 Br 0.302 0.312 0.335  0.01
11 Br 0.333 0.667 0.984  0.07
12 K 0.000 0.000 0.000  0.00

Computed properties:
V	31.621	Å³/atom
total magnetization	9.09	μB/f.u.
E_form (uncorrected)	-723	meV per atom
calculated total energy	-3.890	eV/atom
crystal system	trigonal
SG	P-3 (147)